Computed, not measured: a relaxed ThIn2 crystal at the PBE level of DFT.

a b c (Å): 10.207 10.207 10.207
angles (deg): 60.00 60.00 60.00
Atoms (fractional coordinates):
1 Th 0.125 0.125 0.125
2 Th 0.875 0.875 0.875
3 In 0.000 0.000 0.000
4 In 0.000 0.000 0.500
5 In 0.000 0.500 0.000
6 In 0.500 0.000 0.000

Summary:
Total energy (eV/atom): -2.75


Computed, not measured: a relaxed Mg3Hg crystal at the PBE level of DFT.

a b c (Å): 6.208 10.764 5.141
angles (deg): 90.00 90.00 90.00
Atoms (fractional coordinates):
1 Mg 0.000 0.087 0.250
2 Mg 0.000 0.913 0.750
3 Mg 0.245 0.345 0.250
4 Mg 0.245 0.655 0.750
5 Mg 0.255 0.155 0.750
6 Mg 0.255 0.845 0.250
7 Mg 0.500 0.413 0.750
8 Mg 0.500 0.587 0.250
9 Mg 0.745 0.155 0.750
10 Mg 0.745 0.845 0.250
11 Mg 0.755 0.345 0.250
12 Mg 0.755 0.655 0.750
13 Hg 0.000 0.393 0.750
14 Hg 0.000 0.607 0.250
15 Hg 0.500 0.107 0.250
16 Hg 0.500 0.893 0.750

Summary:
Total energy (eV/atom): -1.35


Computed, not measured: a relaxed BeReSiAs crystal at the PBE level of DFT.

a b c (Å): 6.026 6.026 6.026
angles (deg): 90.00 90.00 90.00
Atoms (fractional coordinates):
1 Be 0.000 0.000 0.000
2 Be 0.000 0.500 0.500
3 Be 0.500 0.000 0.500
4 Be 0.500 0.500 0.000
5 Re 0.250 0.250 0.250
6 Re 0.250 0.750 0.750
7 Re 0.750 0.250 0.750
8 Re 0.750 0.750 0.250
9 Si 0.000 0.000 0.500
10 Si 0.000 0.500 0.000
11 Si 0.500 0.000 0.000
12 Si 0.500 0.500 0.500
13 As 0.250 0.250 0.750
14 As 0.250 0.750 0.250
15 As 0.750 0.250 0.250
16 As 0.750 0.750 0.750

Summary:
Total energy (eV/atom): -5.96


Computed, not measured: a relaxed ZrPb crystal at the PBE level of DFT.

a b c (Å): 5.424 12.738 5.778
angles (deg): 90.00 90.00 90.00
Atoms (fractional coordinates):
1 Zr 0.250 0.133 0.169
2 Zr 0.250 0.250 0.649
3 Zr 0.250 0.367 0.169
4 Zr 0.250 0.750 0.673
5 Zr 0.750 0.250 0.327
6 Zr 0.750 0.633 0.831
7 Zr 0.750 0.750 0.351
8 Zr 0.750 0.867 0.831
9 Pb 0.250 0.001 0.663
10 Pb 0.250 0.499 0.663
11 Pb 0.250 0.627 0.164
12 Pb 0.250 0.873 0.164
13 Pb 0.750 0.127 0.836
14 Pb 0.750 0.373 0.836
15 Pb 0.750 0.501 0.337
16 Pb 0.750 0.999 0.337

Summary:
Total energy (eV/atom): -6.09


Computed, not measured: a relaxed TmLuAl4 crystal at the PBE level of DFT.

a b c (Å): 9.886 9.886 6.405
angles (deg): 90.00 90.00 156.39
Atoms (fractional coordinates):
1 Tm 0.086 0.914 0.750
2 Tm 0.914 0.086 0.250
3 Lu 0.235 0.765 0.250
4 Lu 0.765 0.235 0.750
5 Al 0.072 0.928 0.250
6 Al 0.356 0.644 0.542
7 Al 0.356 0.644 0.958
8 Al 0.500 0.500 0.000
9 Al 0.500 0.500 0.500
10 Al 0.644 0.356 0.042
11 Al 0.644 0.356 0.458
12 Al 0.928 0.072 0.750

Summary:
Total energy (eV/atom): -4.37


Computed, not measured: a relaxed DyHo2Fe6Ni3 crystal at the PBE level of DFT.

a b c (Å): 8.751 8.751 8.751
angles (deg): 32.87 32.87 32.87
Atoms (fractional coordinates):
1 Dy 0.000 0.000 0.000
2 Ho 0.141 0.141 0.141
3 Ho 0.859 0.859 0.859
4 Fe 0.080 0.583 0.583
5 Fe 0.417 0.417 0.920
6 Fe 0.417 0.920 0.417
7 Fe 0.583 0.080 0.583
8 Fe 0.583 0.583 0.080
9 Fe 0.920 0.417 0.417
10 Ni 0.333 0.333 0.333
11 Ni 0.500 0.500 0.500
12 Ni 0.667 0.667 0.667

Summary:
Formation energy (eV/f.u.): -1.94


Computed, not measured: a relaxed NdZrB2O6 crystal at the PBE level of DFT.

a b c (Å): 11.536 11.536 11.536
angles (deg): 24.90 24.90 24.90
Atoms (fractional coordinates):
1 Nd 0.250 0.250 0.250
2 Nd 0.750 0.750 0.750
3 Zr 0.000 0.000 0.000
4 Zr 0.500 0.500 0.500
5 B 0.128 0.128 0.128
6 B 0.372 0.372 0.372
7 B 0.628 0.628 0.628
8 B 0.872 0.872 0.872
9 O 0.106 0.352 0.661
10 O 0.148 0.394 0.839
11 O 0.161 0.852 0.606
12 O 0.339 0.894 0.648
13 O 0.352 0.661 0.106
14 O 0.394 0.839 0.148
15 O 0.606 0.161 0.852
16 O 0.648 0.339 0.894
17 O 0.661 0.106 0.352
18 O 0.839 0.148 0.394
19 O 0.852 0.606 0.161
20 O 0.894 0.648 0.339

Summary:
Total energy (eV/atom): -8.42


Computed, not measured: a relaxed TlBiW4N2 crystal at the PBE level of DFT.

a b c (Å): 3.376 3.376 13.077
angles (deg): 90.00 90.00 120.00
Atoms (fractional coordinates):
1 Tl 0.000 0.000 0.000
2 Bi 0.667 0.333 0.500
3 W 0.000 0.000 0.317
4 W 0.000 0.000 0.683
5 W 0.667 0.333 0.177
6 W 0.667 0.333 0.823
7 N 0.333 0.667 0.244
8 N 0.333 0.667 0.756

Summary:
Total energy (eV/atom): -8.80


Computed, not measured: a relaxed HfInNO crystal at the PBE level of DFT.

a b c (Å): 3.545 7.496 5.522
angles (deg): 90.00 90.00 90.00
Atoms (fractional coordinates):
1 Hf 0.000 0.130 0.000
2 Hf 0.000 0.870 0.500
3 In 0.500 0.343 0.466
4 In 0.500 0.657 0.966
5 N 0.000 0.121 0.368
6 N 0.000 0.879 0.868
7 O 0.500 0.230 0.904
8 O 0.500 0.770 0.404

Summary:
Total energy (eV/atom): -7.94


Computed, not measured: a relaxed FeSbSe crystal at the PBE level of DFT.

a b c (Å): 5.374 3.442 6.181
angles (deg): 90.00 95.66 90.00
Atoms (fractional coordinates):
1 Fe 0.000 0.000 0.000
2 Fe 0.500 0.500 0.500
3 Sb 0.209 0.000 0.653
4 Sb 0.791 0.000 0.347
5 Se 0.268 0.500 0.150
6 Se 0.732 0.500 0.850

Summary:
Total energy (eV/atom): -5.45


Computed, not measured: a relaxed NbPd2C crystal at the PBE level of DFT.

a b c (Å): 8.364 5.191 5.270
angles (deg): 90.00 90.00 90.00
Atoms (fractional coordinates):
1 Nb 0.000 0.194 0.250
2 Nb 0.000 0.806 0.750
3 Nb 0.500 0.306 0.750
4 Nb 0.500 0.694 0.250
5 Pd 0.169 0.300 0.750
6 Pd 0.169 0.700 0.250
7 Pd 0.331 0.200 0.250
8 Pd 0.331 0.800 0.750
9 Pd 0.669 0.200 0.250
10 Pd 0.669 0.800 0.750
11 Pd 0.831 0.300 0.750
12 Pd 0.831 0.700 0.250
13 C 0.000 0.500 0.000
14 C 0.000 0.500 0.500
15 C 0.500 0.000 0.000
16 C 0.500 0.000 0.500

Summary:
Total energy (eV/atom): -7.28


Computed, not measured: a relaxed TlZnTeF crystal at the PBE level of DFT.

a b c (Å): 5.462 13.052 5.417
angles (deg): 90.00 90.00 90.00
Atoms (fractional coordinates):
1 Tl 0.000 0.090 0.250
2 Tl 0.000 0.910 0.750
3 Tl 0.500 0.410 0.750
4 Tl 0.500 0.590 0.250
5 Zn 0.000 0.500 0.000
6 Zn 0.000 0.500 0.500
7 Zn 0.500 0.000 0.000
8 Zn 0.500 0.000 0.500
9 Te 0.000 0.339 0.250
10 Te 0.000 0.661 0.750
11 Te 0.500 0.161 0.750
12 Te 0.500 0.839 0.250
13 F 0.000 0.122 0.750
14 F 0.000 0.878 0.250
15 F 0.500 0.378 0.250
16 F 0.500 0.622 0.750

Summary:
Total energy (eV/atom): -2.70